VASP calculation (GGA-PBE) on a relaxed NbAlCu crystal.

Output
* total DFT energy (no corrections): -5.212 eV per atom
* calculated density: 5.5 g/cm³

Cell: 4.287 4.287 4.287 Å, 60.00 60.00 60.00°
Fractional positions:
Nb 0.250 0.250 0.250
Al 0.500 0.500 0.500
Cu 0.000 0.000 0.000